Entry 1:
The following is a PBE-GGA calculation of Zr2HgBr after structural relaxation, from the Alexandria database.

Structure (POSCAR):
```
Zr2HgBr
1.0
4.5239 -1.9817 -0.4195
1.0803 -4.2298 2.3474
0.6457 -4.1766 -2.5899
Zr Br Hg
2 1 1
Cartesian
1.5625 -2.5970 -0.1655
4.6874 -7.7910 -0.4965
0.0000 0.0000 0.0000
3.1249 -5.1940 -0.3310
```

Results
Relative energy among the computed polymorphs in eV/atom: 0.325

***

Entry 2:
The following is a PBE-GGA calculation of HoNbIr2 after structural relaxation, from the Alexandria database.

Structure (POSCAR):
```
HoNbIr2
1.0
3.0865 0.0000 0.0000
0.0000 3.0865 0.0000
0.0000 0.0000 7.5819
Ir Ho Nb
2 1 1
Cartesian
0.0000 0.0000 5.9120
0.0000 0.0000 1.6699
1.5432 1.5432 3.7910
1.5432 1.5432 0.0000
```

Results
Formation enthalpy at 0 K in eV/atom: -0.571
Relative energy among the computed polymorphs in eV/atom: 0.000

***

Entry 3:
The following is a PBE-GGA calculation of Li2TiCl after structural relaxation, from the Alexandria database.

Structure (POSCAR):
```
Li2TiCl
1.0
0.0000 3.4882 3.4882
3.4882 0.0000 3.4882
3.4882 3.4882 0.0000
Ti Li Cl
1 2 1
Cartesian
3.4882 3.4882 3.4882
1.7441 1.7441 1.7441
5.2323 5.2323 5.2323
0.0000 0.0000 0.0000
```

Results
Relative energy among the computed polymorphs in eV/atom: 0.404

***

Entry 4:
The following is a PBE-GGA calculation of Sr2ScCr after structural relaxation, from the Alexandria database.

Structure (POSCAR):
```
Sr2ScCr
1.0
-3.3128 4.9577 3.3569
-4.2470 1.6465 5.1063
2.5865 1.8961 4.9700
Cr Sr Sc
1 2 1
Cartesian
-2.7494 4.3709 6.8049
-7.4795 6.5667 8.4353
-4.0923 6.5440 10.2010
-0.6985 1.8729 3.1719
```

Results
Formation enthalpy at 0 K in eV/atom: 0.493
Relative energy among the computed polymorphs in eV/atom: 0.103

***

Entry 5:
The following is a PBE-GGA calculation of KNa2HgO after structural relaxation, from the Alexandria database.

Structure (POSCAR):
```
KNa2HgO
1.0
-2.7392 2.5261 3.0176
-1.4166 -4.0631 2.1155
4.1500 0.3583 3.4672
K Na O Hg
1 2 1 1
Cartesian
2.0750 0.1792 1.7336
-0.7083 -2.0315 1.0577
-1.3696 1.2631 1.5088
0.0000 0.0000 0.0000
-0.0029 -0.5893 4.3001
```

Results
Electronic total energy in eV/atom: -2.478

***

Entry 6:
The following is a PBE-GGA calculation of ZrCoRe after structural relaxation, from the Alexandria database.

Structure (POSCAR):
```
ZrCoRe
1.0
-3.1823 2.5185 1.1012
-3.3257 -1.5798 2.0313
-0.6323 0.9411 4.0493
Re Zr Co
1 1 1
Cartesian
0.0000 0.0000 0.0000
-3.5701 0.9399 3.5909
-5.3552 1.4098 5.3863
```

Results
Formation enthalpy at 0 K in eV/atom: 0.341
Relative energy among the computed polymorphs in eV/atom: 0.646

***

Entry 7:
The following is a PBE-GGA calculation of La2PbW after structural relaxation, from the Alexandria database.

Structure (POSCAR):
```
La2PbW
1.0
3.3112 -0.0029 0.0000
-1.2812 3.0533 0.0000
0.0000 0.0000 10.8870
W Pb La
1 1 2
Cartesian
1.0150 1.5252 8.0461
0.0000 0.0000 5.8412
0.0000 0.0000 10.3291
1.0150 1.5252 3.0011
```

Results
Formation enthalpy at 0 K in eV/atom: 0.526

***

Entry 8:
The following is a PBE-GGA calculation of Zr2SbP2 after structural relaxation, from the Alexandria database.

Structure (POSCAR):
```
Zr2SbP2
1.0
-2.6256 -7.1235 -0.3705
2.0842 -1.1437 7.2197
-3.0560 1.0716 1.0520
Zr P Sb
4 4 2
Cartesian
0.3198 -1.4890 2.4457
0.8545 -3.4375 5.9839
-1.3958 -4.8297 0.8652
-0.8611 -6.7782 4.4034
-2.2151 -2.2316 1.3490
-0.5578 -1.1343 5.0457
-3.0395 -6.0613 2.8554
-1.3822 -4.9640 6.5521
0.0000 0.0000 0.0000
-0.2707 -4.1336 3.4246
```

Results
Relative energy among the computed polymorphs in eV/atom: 0.038

***

Entry 9:
The following is a PBE-GGA calculation of Dy3Cd4Pd4 after structural relaxation, from the Alexandria database.

Structure (POSCAR):
```
Dy3Cd4Pd4
1.0
3.8892 0.0000 0.0000
0.0000 8.0040 0.0000
-1.9446 -4.0020 7.7283
Pd Cd Dy
4 4 3
Cartesian
0.0000 4.0020 3.8108
1.9446 6.4801 0.0000
1.9446 0.0000 3.9176
1.9446 1.5239 0.0000
0.0000 -1.5138 5.1504
0.0000 1.5138 5.1504
1.9446 2.4882 2.5780
1.9446 5.5158 2.5780
0.0000 4.0020 0.0000
1.9446 4.0020 5.9682
0.0000 0.0000 1.7602
```

Results
Formation enthalpy at 0 K in eV/atom: -0.588

***

Entry 10:
The following is a PBE-GGA calculation of CaAl2Ir after structural relaxation, from the Alexandria database.

Structure (POSCAR):
```
CaAl2Ir
1.0
9.2396 0.0368 0.0217
8.7062 3.0940 0.0217
8.7062 1.5189 2.6956
Al Ir Ca
2 1 1
Cartesian
6.9279 1.2087 0.7120
0.1897 0.0331 0.0195
19.7406 3.4440 2.0287
13.1200 2.2889 1.3483
```

Results
Formation enthalpy at 0 K in eV/atom: -0.050

***

Entry 11:
The following is a PBE-GGA calculation of LiPdBr after structural relaxation, from the Alexandria database.

Structure (POSCAR):
```
LiPdBr
1.0
24.8952 0.0000 -0.1690
8.0924 1.8584 -1.5122
-8.0924 1.8584 1.5122
Br Li Pd
2 2 2
Cartesian
3.9289 1.8584 -0.1576
15.4632 1.8584 -0.3933
1.1980 1.8584 1.0084
11.6300 1.8584 0.1838
18.9332 1.8584 0.5191
25.2524 1.8584 -1.5983
```

Results
Relative energy among the computed polymorphs in eV/atom: 0.008

***

Entry 12:
The following is a PBE-GGA calculation of Zr2Ru after structural relaxation, from the Alexandria database.

Structure (POSCAR):
```
Zr2Ru
1.0
-1.7072 3.1000 5.8191
1.7072 -3.1000 5.8191
1.7072 3.1000 -5.8191
Ru Zr
2 4
Cartesian
0.0000 0.0000 7.2912
0.0000 0.0000 4.3470
0.0000 4.7012 0.0000
0.0000 1.4989 0.0000
1.7072 0.0000 2.3941
0.0000 3.1000 3.4250
```

Results
Formation enthalpy at 0 K in eV/atom: -0.302

***

Entry 13:
The following is a PBE-GGA calculation of PuIBrO6 after structural relaxation, from the Alexandria database.

Structure (POSCAR):
```
PuIBrO6
1.0
-2.3422 2.5741 6.8231
3.8014 -6.6634 3.8187
3.6979 4.8376 -4.8548
O Pu Br I
12 2 2 2
Cartesian
4.5209 -3.9442 3.0399
0.6362 4.6925 2.7472
4.5403 0.5988 1.3327
2.5145 -2.4251 4.4670
3.5198 2.2093 -1.2354
2.6426 3.1734 1.3201
-0.0135 2.0062 1.9275
6.0478 -2.2220 1.3042
5.1706 -1.2579 3.8596
1.6373 -1.4610 7.0225
-0.8907 2.9703 4.4829
0.6167 0.1495 4.4544
0.7296 -2.0446 5.3209
-1.1711 1.2871 3.4116
2.1681 1.1282 4.6178
2.9889 -0.3798 1.1693
0.6778 3.7059 0.9842
1.8489 2.4188 -2.4274
```

Results
Electronic total energy in eV/atom: -6.301

***

Entry 14:
The following is a PBE-GGA calculation of Se3SBr after structural relaxation, from the Alexandria database.

Structure (POSCAR):
```
Se3SBr
1.0
5.2013 0.0000 0.0000
0.0000 5.2013 0.0000
0.0000 0.0000 5.2013
Se Br S
3 1 1
Cartesian
0.0000 0.0000 2.6006
2.6006 0.0000 0.0000
0.0000 2.6006 0.0000
0.0000 0.0000 0.0000
2.6006 2.6006 2.6006
```

Results
Relative energy among the computed polymorphs in eV/atom: 0.626

***

Entry 15:
The following is a PBE-GGA calculation of MnBeSe2 after structural relaxation, from the Alexandria database.

Structure (POSCAR):
```
MnBeSe2
1.0
5.6145 0.0000 0.0000
0.0000 5.6145 0.0000
2.8072 2.8072 5.3579
Mn Se Be
2 4 2
Cartesian
5.6145 2.8072 2.6790
0.0000 0.0000 0.0000
7.0181 6.7746 4.0185
4.2109 4.4544 4.0185
3.9674 1.4036 1.3395
1.6471 4.2109 1.3395
2.8072 2.8072 0.0000
2.8072 5.6145 2.6790
```

Results
Electronic total energy in eV/atom: -5.532